# LaPr2Tm4Sc

LaPr2Tm4Sc after structural relaxation (PBE-GGA, Alexandria via LeMat-Bulk).

a = 9.4180 Å, b = 9.4180 Å, c = 11.7288 Å
α = 128.51°, β = 128.51°, γ = 88.15°
With the nearest neighbours (Å) after each atom.
Atoms (fractional coordinates):
La1 0.0000 0.5000 0.0000  6 Tm 3.28-3.39, 2 Pr 3.38
La2 0.0000 0.5000 0.5000  6 Tm 3.28-3.39, 2 Pr 3.38
Pr1 0.5000 0.0000 0.0000  6 Tm 3.28-3.38, 2 La 3.38
Pr2 0.5000 0.0000 0.5000  6 Tm 3.28-3.38, 2 La 3.38
Pr3 0.0000 0.0000 0.5000  2 Pr 3.38, 6 Tm 3.47-3.55
Pr4 0.5000 0.5000 0.0000  2 Pr 3.38, 6 Tm 3.47-3.55
Tm1 0.2367 0.7661 0.0014  1 Sc 3.08, 2 Tm 3.36-3.39, 2 Pr 3.38, 2 La 3.39
Tm2 0.7339 0.2633 0.4986  1 Sc 3.08, 2 Tm 3.36-3.39, 2 Pr 3.38, 2 La 3.39
Tm3 0.2661 0.7367 0.5014  1 Sc 3.08, 2 Tm 3.36-3.39, 2 Pr 3.38, 2 La 3.39
Tm4 0.7633 0.2339 0.9987  1 Sc 3.08, 2 Tm 3.36-3.39, 2 Pr 3.38, 2 La 3.39
Tm5 0.7499 0.7498 0.9832  2 Sc 3.21-3.22, 1 La 3.28, 3 Pr 3.28-3.55, 2 Tm 3.38
Tm6 0.7502 0.7501 0.5168  2 Sc 3.21-3.22, 1 La 3.28, 3 Pr 3.28-3.55, 2 Tm 3.38
Tm7 0.2498 0.2499 0.4832  2 Sc 3.21-3.22, 1 La 3.28, 3 Pr 3.28-3.55, 2 Tm 3.38
Tm8 0.2501 0.2502 0.0168  2 Sc 3.21-3.22, 1 La 3.28, 3 Pr 3.28-3.55, 2 Tm 3.38
Sc1 0.5000 0.5000 0.5000  6 Tm 3.08-3.22, 2 Sc 3.38
Sc2 0.0000 0.0000 0.0000  6 Tm 3.08-3.22, 2 Sc 3.38

Summary:
**D(E_F)**: 17.791 states/eV/f.u.
**VASP energy**: -4.439 eV per atom
**Size of the total moment**: 0.0 μB/f.u.
**Energy of formation**: 0.3988 eV per atom